[1]
VASP calculation (GGA-PBEsol) on NiSn2RuS after structural relaxation.

a b c (Å): 4.731 4.731 4.646
angles (deg): 90.00 90.00 90.00
Element x y z (fractional)
Ni (0.000, 0.000, 0.000)
Sn (0.000, 0.500, 0.000)
Sn (0.500, 0.000, 0.000)
Ru (0.000, 0.000, 0.500)
S (0.500, 0.500, 0.500)

Energy relative to the elements, uncorrected, eV/atom: 0.747

***

[2]
VASP calculation (GGA-PBEsol) on LiMgB2 after structural relaxation.

a b c (Å): 5.003 5.003 5.003
angles (deg): 100.06 100.06 130.59
Element x y z (fractional)
Li (0.000, 0.000, 0.000)
Li (0.750, 0.250, 0.500)
Mg (0.250, 0.750, 0.500)
Mg (0.500, 0.500, 0.000)
B (0.112, 0.125, 0.487)
B (0.375, 0.888, 0.013)
B (0.638, 0.625, 0.513)
B (0.875, 0.362, 0.987)

DFT formation energy, eV per atom: 1.127

***

[3]
VASP calculation (GGA-PBEsol) on Na3P3H5N3O7 after structural relaxation.

a b c (Å): 7.823 7.823 7.618
angles (deg): 98.58 98.58 102.89
Element x y z (fractional)
Na (0.000, 0.000, 0.000)
Na (0.375, 0.084, 0.435)
Na (0.702, 0.298, 0.000)
Na (0.739, 0.021, 0.616)
Na (0.916, 0.625, 0.565)
Na (0.979, 0.261, 0.384)
P (0.080, 0.385, 0.843)
P (0.097, 0.629, 0.189)
P (0.334, 0.385, 0.171)
P (0.371, 0.903, 0.811)
P (0.615, 0.666, 0.829)
P (0.615, 0.920, 0.157)
H (0.037, 0.923, 0.392)
H (0.077, 0.963, 0.608)
H (0.092, 0.681, 0.901)
H (0.312, 0.600, 0.702)
H (0.319, 0.908, 0.099)
H (0.379, 0.383, 0.878)
H (0.400, 0.688, 0.298)
H (0.617, 0.621, 0.122)
H (0.628, 0.355, 0.391)
H (0.645, 0.372, 0.609)
N (0.049, 0.573, 0.963)
N (0.273, 0.353, 0.945)
N (0.290, 0.578, 0.257)
N (0.422, 0.710, 0.743)
N (0.427, 0.951, 0.037)
N (0.647, 0.727, 0.055)
O (0.008, 0.992, 0.500)
O (0.106, 0.432, 0.661)
O (0.134, 0.833, 0.231)
O (0.167, 0.866, 0.769)
O (0.221, 0.234, 0.239)
O (0.478, 0.049, 0.733)
O (0.536, 0.414, 0.210)
O (0.568, 0.894, 0.339)
O (0.586, 0.464, 0.790)
O (0.685, 0.315, 0.500)
O (0.766, 0.779, 0.761)
O (0.770, 0.070, 0.147)
O (0.930, 0.230, 0.853)
O (0.951, 0.522, 0.267)

***

[4]
VASP calculation (GGA-PBEsol) on Mo2WSe4S2 after structural relaxation.

a b c (Å): 3.223 3.223 20.219
angles (deg): 90.00 90.00 120.00
Element x y z (fractional)
Mo (0.000, 0.000, 0.184)
Mo (0.000, 0.000, 0.816)
W (0.667, 0.333, 0.500)
Se (0.667, 0.333, 0.101)
Se (0.667, 0.333, 0.267)
Se (0.667, 0.333, 0.733)
Se (0.667, 0.333, 0.899)
S (0.000, 0.000, 0.424)
S (0.000, 0.000, 0.576)

Offset from the most stable computed form, eV/atom: 0.000
Energy relative to the elements, uncorrected, eV/atom: -0.762

***

| no. | uncorrected energy (eV/cell) | total moment (μB/cell) |
| --- | --- | --- |
| 1 | -25.50 | 2.16 |
| 2 | -26.42 | 0.00 |
| 3 | -263.48 | 0.00 |
| 4 | -68.37 | 0.00 |